(1)
This record from the Alexandria database describes a relaxed structure of SrInTe2N. The functional is PBE.

Cell: 5.9422 5.9422 4.2340 Å, 90.00 90.00 90.00°
Last column: nearest neighbours and their distance in Å.
Element x y z (fractional)
N  0.0000  0.0000  0.5000  2 In 2.12
Te  0.0000  0.5000  0.0000  2 In 2.97
Te  0.5000  0.0000  0.0000  2 In 2.97
In  0.0000  0.0000  0.0000  2 N 2.12
Sr  0.5000  0.5000  0.5000  8 Te 3.65

Values from the calculation:
The calculation puts the magnetic moment at 1.94 μB per cell. The value obtained for the volume is 29.9 Å³ per atom. The space group is P4/mmm, No. 123. Its uncorrected formation energy is 0.005 eV per atom. The total DFT energy (no corrections) comes out at -19.002 eV per cell. The value obtained for the density of states at the Fermi level is 2.4 states/eV/cell.


(2)
This record from the Alexandria database describes a relaxed structure of AgSb2PdPt. The functional is PBE.

Cell: 5.0135 5.0063 5.0135 Å, 90.00 90.00 90.00°
Last column: nearest neighbours and their distance in Å.
Element x y z (fractional)
Sb  0.0000  0.0000  0.5000  2 Pd 2.51
Sb  0.5000  0.0000  0.0000  2 Pd 2.51
Pd  0.0000  0.0000  0.0000  2 Ag 2.50, 4 Sb 2.51
Pt  0.5000  0.5000  0.5000  8 Sb 3.54, 4 Ag 3.55
Ag  0.0000  0.5000  0.0000  2 Pd 2.50

Values from the calculation:
The calculation puts the magnetic moment at 0.00 μB per cell. The value obtained for the volume is 25.2 Å³ per atom. The space group is P4/mmm, No. 123. Its uncorrected formation energy is 0.585 eV per atom. The total DFT energy (no corrections) comes out at -19.403 eV per cell. The value obtained for the density of states at the Fermi level is 2.6 states/eV/cell.


(3)
This record from the Alexandria database describes a relaxed structure of Mg4GaPd. The functional is PBE.

Cell: 5.4111 5.4111 5.4111 Å, 103.68 103.68 121.80°
Last column: nearest neighbours and their distance in Å.
Element x y z (fractional)
Mg  0.5865  0.0865  0.1731  2 Ga 2.83, 2 Pd 2.83, 3 Mg 3.09-3.10
Mg  0.9135  0.4135  0.8269  2 Pd 2.83, 2 Ga 2.83, 3 Mg 3.09-3.10
Mg  0.0865  0.9135  0.5000  2 Ga 2.83, 2 Pd 2.83, 3 Mg 3.09-3.10
Mg  0.4135  0.5865  0.5000  2 Pd 2.83, 2 Ga 2.83, 3 Mg 3.09-3.10
Ga  0.5000  0.5000  0.0000  2 Pd 2.63, 8 Mg 2.83
Pd  0.0000  0.0000  0.0000  2 Ga 2.63, 8 Mg 2.83

Values from the calculation:
The calculation puts the magnetic moment at 0.00 μB per cell. The value obtained for the volume is 19.6 Å³ per atom. The space group is I422, No. 97. The calculation puts the formation energy at -0.36 eV/atom. The total DFT energy (no corrections) comes out at -16.742 eV per cell. The value obtained for the density of states at the Fermi level is 2.6 states/eV/cell.


(4)
This record from the Alexandria database describes a relaxed structure of As2RuPtW. The functional is PBE.

Cell: 4.7763 4.9227 4.7763 Å, 90.00 90.00 90.00°
Last column: nearest neighbours and their distance in Å.
Element x y z (fractional)
W  0.0000  0.0000  0.0000  4 As 2.39, 2 Pt 2.46
As  0.0000  0.0000  0.5000  2 W 2.39
As  0.5000  0.0000  0.0000  2 W 2.39
Ru  0.5000  0.5000  0.5000  4 Pt 3.38, 8 As 3.43
Pt  0.0000  0.5000  0.0000  2 W 2.46

Values from the calculation:
The calculation puts the magnetic moment at 2.33 μB per cell. The value obtained for the volume is 22.5 Å³ per atom. The space group is P4/mmm, No. 123. The calculation puts the formation energy at 1.26 eV/atom. The total DFT energy (no corrections) comes out at -31.256 eV per cell. The value obtained for the density of states at the Fermi level is 7.2 states/eV/cell.


(5)
This record from the Alexandria database describes a relaxed structure of Li4U3PN8. The functional is PBE.

Cell: 6.7770 6.3725 6.7783 Å, 122.11 119.99 90.00°
Last column: nearest neighbours and their distance in Å.
Element x y z (fractional)
N  0.7599  0.2935  0.0338  2 U 2.19, 1 P 2.26, 1 Li 2.41
N  0.2401  0.7065  0.9662  2 U 2.19, 1 P 2.26, 1 Li 2.41
N  0.7260  0.7065  0.9662  2 U 2.19, 1 P 2.26, 1 Li 2.41
N  0.7596  0.2932  0.5193  2 U 2.19, 1 P 2.27, 1 Li 2.41
N  0.2740  0.2935  0.0338  2 U 2.19, 1 P 2.26, 1 Li 2.41
N  0.7385  0.7159  0.4771  3 U 2.24, 3 Li 2.42
N  0.2404  0.7068  0.4807  2 U 2.19, 1 P 2.27, 1 Li 2.41
N  0.2615  0.2841  0.5229  3 U 2.24, 3 Li 2.42
U  0.5000  0.5000  0.0000  6 N 2.19-2.24
U  0.5000  0.5000  0.5000  6 N 2.19-2.24
U  0.0000  0.5000  0.5000  6 N 2.19-2.24
Li  0.5000  0.0000  0.0000  6 N 2.41
Li  0.0000  0.0000  0.5000  6 N 2.42-2.48
Li  0.0000  0.0000  0.0000  6 N 2.42-2.47
Li  0.5000  0.0000  0.5000  6 N 2.42-2.48
P  0.0000  0.5000  0.0000  6 N 2.26-2.27

Values from the calculation:
The calculation puts the magnetic moment at 1.04 μB per cell. The value obtained for the volume is 12.5 Å³ per atom. The space group is R-3m, No. 166. Its uncorrected formation energy is -0.773 eV per atom. The total DFT energy (no corrections) comes out at -125.894 eV per cell. The value obtained for the density of states at the Fermi level is 4.4 states/eV/cell.


(6)
This record from the Alexandria database describes a relaxed structure of TiAg3. The functional is PBE.

Cell: 2.8162 4.8559 5.1255 Å, 90.00 90.00 90.00°
Last column: nearest neighbours and their distance in Å.
Element x y z (fractional)
Ag  0.5000  0.5000  0.8277  8 Ag 2.82-2.95, 4 Ti 2.95
Ag  0.5000  0.0000  0.5094  8 Ag 2.82-2.96, 4 Ti 2.91-2.94
Ag  0.0000  0.5000  0.3230  10 Ag 2.82-2.96, 2 Ti 2.92
Ti  0.0000  0.0000  0.0064  2 Ti 2.82, 10 Ag 2.91-2.95

Values from the calculation:
The calculation puts the magnetic moment at 0.24 μB per cell. The value obtained for the volume is 17.5 Å³ per atom. The space group is Pmm2, No. 25. The calculation puts the formation energy at 0.13 eV/atom. The total DFT energy (no corrections) comes out at -15.943 eV per cell. The value obtained for the density of states at the Fermi level is 3.5 states/eV/cell.


(7)
This record from the Alexandria database describes a relaxed structure of ScTlMo2. The functional is PBE.

Cell: 3.0024 3.0024 9.2989 Å, 90.00 90.00 112.21°
Last column: nearest neighbours and their distance in Å.
Element x y z (fractional)
Sc  0.0000  0.0000  0.4755  2 Mo 2.79, 4 Sc 3.00
Mo  0.0000  0.0000  0.0282  2 Mo 2.55
Mo  0.5000  0.5000  0.2355  2 Mo 2.55, 2 Sc 2.79
Tl  0.5000  0.5000  0.7608  2 Mo 3.00, 6 Tl 3.00-3.35, 2 Sc 3.14

Values from the calculation:
The calculation puts the magnetic moment at 0.00 μB per cell. The value obtained for the volume is 19.4 Å³ per atom. The space group is Cmm2, No. 35. The calculation puts the formation energy at 0.24 eV/atom. The total DFT energy (no corrections) comes out at -29.395 eV per cell. The value obtained for the density of states at the Fermi level is 3.2 states/eV/cell.


(8)
This record from the Alexandria database describes a relaxed structure of La5TbSm8. The functional is PBE.

Cell: 9.6206 9.6206 9.6206 Å, 95.21 144.94 95.21°
Last column: nearest neighbours and their distance in Å.
Element x y z (fractional)
Sm  0.6024  0.3972  0.3581  6 Sm 3.46-3.74, 3 La 3.64-3.87, 1 Tb 3.71
Sm  0.6419  0.2443  0.0392  6 Sm 3.46-3.74, 3 La 3.64-3.87, 1 Tb 3.71
Sm  0.4041  0.3725  0.5657  4 La 3.29-3.62, 1 Tb 3.33, 2 Sm 3.46-3.59
Sm  0.1932  0.6275  0.0316  4 La 3.29-3.62, 1 Tb 3.33, 2 Sm 3.46-3.59
Sm  0.4343  0.8383  0.8068  4 La 3.29-3.62, 1 Tb 3.33, 2 Sm 3.46-3.59
Sm  0.7949  0.7557  0.3976  6 Sm 3.46-3.74, 3 La 3.64-3.87, 1 Tb 3.71
Sm  0.9608  0.6028  0.2051  6 Sm 3.46-3.74, 3 La 3.64-3.87, 1 Tb 3.71
Sm  0.9684  0.1617  0.5959  4 La 3.29-3.62, 1 Tb 3.33, 2 Sm 3.46-3.59
La  0.0444  0.0059  0.3093  1 La 3.08, 1 Sm 3.29
La  0.5000  0.0000  0.5000  4 La 3.08
La  0.9615  0.2649  0.9556  1 La 3.08, 1 Sm 3.29
La  0.3034  0.9941  0.0385  1 La 3.08, 1 Sm 3.29
La  0.6907  0.7351  0.6966  1 La 3.08, 1 Sm 3.29
Tb  0.2500  0.5000  0.7500  8 Sm 3.33-3.71

Values from the calculation:
The calculation puts the magnetic moment at 0.00 μB per cell. The value obtained for the volume is 34.8 Å³ per atom. The space group is I-4, No. 82. The calculation puts the formation energy at 0.13 eV/atom. The total DFT energy (no corrections) comes out at -65.160 eV per cell. The value obtained for the density of states at the Fermi level is 23.2 states/eV/cell.


(9)
This record from the Alexandria database describes a relaxed structure of YPW2. The functional is PBE.

Cell: 3.2429 3.2429 6.9130 Å, 90.00 90.00 90.00°
Last column: nearest neighbours and their distance in Å.
Element x y z (fractional)
W  0.0000  0.0000  0.9843  4 P 2.59, 4 W 2.73
W  0.5000  0.5000  0.1981  1 P 2.69, 4 W 2.73
Y  0.0000  0.0000  0.5084  4 P 3.10, 5 W 3.14-3.29, 4 Y 3.24
P  0.5000  0.5000  0.8093  5 W 2.59-2.69

Values from the calculation:
The calculation puts the magnetic moment at 0.00 μB per cell. The value obtained for the volume is 18.2 Å³ per atom. The space group is P4mm, No. 99. The calculation puts the formation energy at -0.10 eV/atom. The total DFT energy (no corrections) comes out at -38.168 eV per cell. The value obtained for the density of states at the Fermi level is 2.2 states/eV/cell.


(10)
This record from the Alexandria database describes a relaxed structure of Ag3RuO. The functional is PBE.

Cell: 5.0832 5.0832 5.0832 Å, 90.00 90.00 90.00°
Last column: nearest neighbours and their distance in Å.
Element x y z (fractional)
O  0.5000  0.5000  0.5000  12 Ag 3.59
Ag  0.0000  0.0000  0.5000  2 Ru 2.54
Ag  0.0000  0.5000  0.0000  2 Ru 2.54
Ag  0.5000  0.0000  0.0000  2 Ru 2.54
Ru  0.0000  0.0000  0.0000  6 Ag 2.54

Values from the calculation:
The calculation puts the magnetic moment at 2.40 μB per cell. The value obtained for the volume is 26.3 Å³ per atom. The space group is Pm-3m, No. 221. Its uncorrected formation energy is 1.774 eV per atom. The total DFT energy (no corrections) comes out at -13.919 eV per cell. The value obtained for the density of states at the Fermi level is 10.0 states/eV/cell.


(11)
This record from the Alexandria database describes a relaxed structure of LiZrBiRu. The functional is PBE.

Cell: 4.6538 4.6538 4.6538 Å, 60.00 60.00 60.00°
Last column: nearest neighbours and their distance in Å.
Element x y z (fractional)
Ru  0.7500  0.7500  0.7500  4 Zr 2.85, 4 Bi 2.85
Li  0.2500  0.2500  0.2500  4 Zr 2.85, 4 Bi 2.85
Bi  0.5000  0.5000  0.5000  4 Li 2.85, 4 Ru 2.85
Zr  0.0000  0.0000  0.0000  4 Li 2.85, 4 Ru 2.85

Values from the calculation:
The calculation puts the magnetic moment at 0.00 μB per cell. The value obtained for the volume is 17.8 Å³ per atom. The space group is F-43m, No. 216. The calculation puts the formation energy at -0.37 eV/atom. The total DFT energy (no corrections) comes out at -25.116 eV per cell. The value obtained for the density of states at the Fermi level is 0.1 states/eV/cell.


(12)
This record from the Alexandria database describes a relaxed structure of CdSiSnHg. The functional is PBE.

Cell: 7.1284 4.0585 7.3575 Å, 90.00 108.78 90.00°
Last column: nearest neighbours and their distance in Å.
Element x y z (fractional)
Cd  0.9664  0.0000  0.6736  3 Si 2.81-2.86, 3 Hg 3.04-3.07
Cd  0.9664  0.5000  0.1736  3 Si 2.81-2.86, 3 Hg 3.04-3.07
Hg  0.6872  0.5000  0.4152  3 Cd 3.04-3.07, 3 Sn 3.17-3.19
Hg  0.6872  0.0000  0.9152  3 Cd 3.04-3.07, 3 Sn 3.17-3.19
Sn  0.3778  0.5000  0.6426  3 Si 2.71-2.73
Sn  0.3778  0.0000  0.1426  3 Si 2.71-2.73
Si  0.1888  0.5000  0.9122  3 Sn 2.71-2.73, 3 Cd 2.81-2.86
Si  0.1888  0.0000  0.4122  3 Sn 2.71-2.73, 3 Cd 2.81-2.86

Values from the calculation:
The calculation puts the magnetic moment at 0.00 μB per cell. The value obtained for the volume is 25.2 Å³ per atom. The space group is Cm, No. 8. Its uncorrected formation energy is 0.198 eV per atom. The total DFT energy (no corrections) comes out at -19.704 eV per cell. The value obtained for the density of states at the Fermi level is 2.0 states/eV/cell.